(1)
DFT (PBE-GGA) results for a relaxed structure of TeMo2Br.

Cell and atoms, written as POSCAR:
```
TeMo2Br
1.0
-1.5599 2.9269 4.4135
1.5599 -2.9269 4.4135
1.5599 2.9269 -4.4135
Te Mo Br
1 2 1
direct
0.0000 0.0000 0.0000 Te
0.2486 0.7486 0.5000 Mo
0.7514 0.2514 0.5000 Mo
0.5000 0.5000 0.0000 Br
```

symmetry	Immm
calculated total energy	-5.647	eV/atom
uncorrected formation energy	0.9717	eV/atom
mass density	8.23	g/cm³
relative energy among the computed polymorphs	801	meV per atom

(2)
DFT (PBE-GGA) results for a relaxed structure of ThZnRh.

Cell and atoms, written as POSCAR:
```
ThZnRh
1.0
-1.6910 1.6910 5.3107
1.6910 -1.6910 5.3107
1.6910 1.6910 -5.3107
Th Zn Rh
1 1 1
direct
0.0000 0.0000 0.0000 Th
0.7090 0.7090 0.0000 Zn
0.3285 0.3285 0.0000 Rh
```

symmetry	I4mm
E_form	-0.43	eV per atom
calculated total energy	-5.783	eV/atom
mass density	10.94	g/cm³

(3)
DFT (PBE-GGA) results for a relaxed structure of Pu2NbH.

Cell and atoms, written as POSCAR:
```
Pu2NbH
1.0
3.0651 0.0000 0.0000
0.0000 3.0651 0.0000
0.0000 0.0000 7.7129
Pu Nb H
2 1 1
direct
0.0000 0.0000 0.2028 Pu
0.0000 0.0000 0.7972 Pu
0.5000 0.5000 0.5000 Nb
0.5000 0.5000 0.0000 H
```

symmetry	P4/mmm
calculated total energy	-10.353	eV/atom
mass density	13.33	g/cm³
relative energy among the computed polymorphs	0	meV per atom

(4)
DFT (PBE-GGA) results for a relaxed structure of AlHgW2.

Cell and atoms, written as POSCAR:
```
AlHgW2
1.0
3.2940 0.0000 0.0000
0.0000 4.4390 0.0000
0.0000 0.0000 4.6055
Al Hg W
1 1 2
direct
0.0000 0.0000 0.0000 Al
0.5000 0.5000 0.0000 Hg
0.0000 0.5000 0.5000 W
0.5000 0.0000 0.5000 W
```

symmetry	Pmmm
E_form	0.48	eV per atom
calculated total energy	-7.011	eV/atom
mass density	14.68	g/cm³
relative energy among the computed polymorphs	139	meV per atom

no.,density of states at the Fermi level (states/eV/cell)
1,4.49
2,3.36
3,9.30
4,2.07